# CeThTc2

CeThTc2 after structural relaxation (PBE, Alexandria).

crystal system: orthorhombic
formation enthalpy at 0 K: -13.4 kJ/mol of formula units
polymorph energy (0 for the lowest one): 0.0000 eV/atom

abc: 6.991 4.969 9.906
angles: 90.00 90.00 90.00
Positions (direct):
Ce 0.014 0.250 0.134
Ce 0.486 0.750 0.634
Ce 0.514 0.250 0.366
Ce 0.986 0.750 0.866
Th 0.192 0.250 0.660
Th 0.308 0.750 0.160
Th 0.692 0.250 0.840
Th 0.808 0.750 0.340
Tc 0.053 0.250 0.409
Tc 0.227 0.250 0.934
Tc 0.273 0.750 0.434
Tc 0.447 0.750 0.909
Tc 0.553 0.250 0.091
Tc 0.727 0.250 0.566
Tc 0.773 0.750 0.066
Tc 0.947 0.750 0.591

# Ce3ThTc2

Ce3ThTc2 after structural relaxation (PBE, Alexandria).

crystal system: monoclinic
formation enthalpy at 0 K: -29.2 kJ/mol of formula units

abc: 8.621 8.621 8.673
angles: 116.04 116.04 29.37
Positions (direct):
Ce 0.078 0.078 0.406
Ce 0.284 0.284 0.633
Ce 0.381 0.381 0.314
Ce 0.619 0.619 0.686
Ce 0.716 0.716 0.367
Ce 0.922 0.922 0.594
Th 0.110 0.110 0.020
Th 0.890 0.890 0.980
Tc 0.230 0.230 0.891
Tc 0.475 0.475 0.804
Tc 0.525 0.525 0.196
Tc 0.770 0.770 0.109

# Ce2Th3Tc3

Ce2Th3Tc3 after structural relaxation (PBE, Alexandria).

crystal system: orthorhombic
formation enthalpy at 0 K: -69.0 kJ/mol of formula units

abc: 6.576 6.576 15.419
angles: 90.00 90.00 143.85
Positions (direct):
Ce 0.222 0.778 0.575
Ce 0.222 0.778 0.925
Ce 0.778 0.222 0.075
Ce 0.778 0.222 0.425
Th 0.060 0.940 0.130
Th 0.060 0.940 0.370
Th 0.352 0.648 0.250
Th 0.648 0.352 0.750
Th 0.940 0.060 0.630
Th 0.940 0.060 0.870
Tc 0.315 0.685 0.750
Tc 0.423 0.577 0.058
Tc 0.423 0.577 0.442
Tc 0.577 0.423 0.558
Tc 0.577 0.423 0.942
Tc 0.685 0.315 0.250

# CeTh4Tc2

CeTh4Tc2 after structural relaxation (PBE, Alexandria).

crystal system: monoclinic
formation enthalpy at 0 K: -14.1 kJ/mol of formula units

abc: 7.851 6.675 8.015
angles: 90.00 114.78 90.00
Positions (direct):
Ce 0.043 0.250 0.169
Ce 0.957 0.750 0.831
Th 0.233 0.509 0.592
Th 0.233 0.991 0.592
Th 0.323 0.750 0.232
Th 0.386 0.250 0.018
Th 0.614 0.750 0.982
Th 0.677 0.250 0.768
Th 0.767 0.009 0.408
Th 0.767 0.491 0.408
Tc 0.021 0.250 0.780
Tc 0.399 0.250 0.374
Tc 0.601 0.750 0.626
Tc 0.979 0.750 0.220

# Ce2ThTc9

Ce2ThTc9 after structural relaxation (PBE, Alexandria).

crystal system: triclinic
formation enthalpy at 0 K: -20.6 kJ/mol of formula units

abc: 5.240 5.245 9.381
angles: 95.48 102.61 115.79
Positions (direct):
Ce 0.216 0.353 0.070
Ce 0.784 0.647 0.930
Th 0.500 0.500 0.500
Tc 0.146 0.095 0.740
Tc 0.164 0.588 0.753
Tc 0.195 0.812 0.506
Tc 0.335 0.911 0.247
Tc 0.500 0.000 0.000
Tc 0.665 0.089 0.753
Tc 0.805 0.188 0.494
Tc 0.836 0.412 0.247
Tc 0.854 0.905 0.260

# CeTh2Tc

CeTh2Tc after structural relaxation (PBE, Alexandria).

crystal system: trigonal
formation enthalpy at 0 K: 54.0 kJ/mol of formula units
polymorph energy (0 for the lowest one): 0.2520 eV/atom

abc: 6.980 6.980 6.980
angles: 37.70 37.70 37.70
Positions (direct):
Ce 0.000 0.000 0.000
Th 0.574 0.574 0.574
Th 0.780 0.780 0.780
Tc 0.181 0.181 0.181

Question: formation enthalpy at 0 K of number 5 (Ce2ThTc9)?
Answer: -20.6 kJ/mol of formula units

Question: Number 6 is which compound?
Answer: CeTh2Tc

Question: Number 5 is which compound?
Answer: Ce2ThTc9